Compound: Ba5RhO
Source: the Alexandria database
Functional: PBE
Structure: optimized geometry

```
Ba5RhO
1.0
5.9528 -5.2212 0.0000
5.9528 5.2212 0.0000
-5.4702 0.0000 10.7853
Ba Rh O
10 2 2
direct
0.0495 0.9505 0.7500
0.2413 0.3593 0.6471
0.2423 0.6841 0.9813
0.3159 0.7577 0.5187
0.3593 0.2413 0.1471
0.6407 0.7587 0.8529
0.6841 0.2423 0.4813
0.7577 0.3159 0.0187
0.7587 0.6407 0.3529
0.9505 0.0495 0.2500
0.0000 0.0000 0.0000
0.0000 0.0000 0.5000
0.3028 0.6972 0.7500
0.6972 0.3028 0.2500
```

Properties
Size of the total moment in μB per cell: 0.0
Calculated volume in A^3/atom: 47.9
Energy relative to the elements, uncorrected in eV per atom: -0.689